[1]
UReTc2 | PBE | optimized geometry

Calculated volume in Å³/atom: 16.57
DFT formation energy in eV per formula unit: 0.4

extended XYZ file:
```
4
Lattice="-2.532 0.194 3.030 -3.129 -0.573 -2.578 0.312 -4.050 0.520" Properties=species:S:1:pos:R:3 pbc="T T T"
Re -1.266 0.097 1.515
U -2.674 -2.214 0.486
Tc 0.156 -2.025 0.260
Tc -1.565 -0.286 -1.289
```

---

[2]
CaCu2 | PBE | optimized geometry

Calculated volume in Å³/atom: 19.47
DFT formation energy in eV per formula unit: -0.2

extended XYZ file:
```
12
Lattice="-2.464 2.518 -2.436 -4.315 -3.162 1.096 -2.110 5.643 7.968" Properties=species:S:1:pos:R:3 pbc="T T T"
Ca -4.075 0.697 2.960
Ca -7.445 3.984 6.002
Ca -1.444 1.015 0.628
Ca -4.815 4.301 3.669
Cu -5.542 1.720 5.501
Cu -5.099 0.611 0.142
Cu -3.791 4.388 6.487
Cu -3.348 3.279 1.128
Cu -2.090 2.897 3.227
Cu -5.552 6.117 6.292
Cu -3.338 -1.118 0.338
Cu -6.799 2.102 3.402
```

---

[3]
AlSiPd4 | PBE | optimized geometry

Raw formation energy in meV/atom: -663
Calculated volume in Å³/atom: 16.04
Distance to the lowest polymorph of the same formula in eV/f.u.: 0.34

extended XYZ file:
```
12
Lattice="-2.290 -2.761 -4.553 -2.852 -3.526 3.597 -1.873 6.773 0.512" Properties=species:S:1:pos:R:3 pbc="T T T"
Al -3.110 -1.545 0.669
Al -3.905 2.031 -1.112
Si -2.828 -1.164 -3.406
Si -4.187 1.650 2.962
Pd -1.493 2.713 -0.851
Pd -4.449 -5.426 -1.831
Pd -2.921 0.952 0.948
Pd -5.173 2.724 0.958
Pd -5.522 -2.227 0.407
Pd -4.093 -0.466 -1.391
Pd -2.566 5.912 1.387
Pd -1.841 -2.238 -1.402
```

---

[4]
NdPuPdRh | PBE | optimized geometry

Calculated volume in Å³/atom: 21.96
Distance to the lowest polymorph of the same formula in eV/f.u.: 0.25
DFT formation energy in eV per formula unit: -2.1

extended XYZ file:
```
4
Lattice="-3.404 1.942 -3.088 -4.662 0.781 1.599 -1.646 4.656 0.712" Properties=species:S:1:pos:R:3 pbc="T T T"
Rh -4.856 3.690 -0.389
Nd -7.284 5.535 -0.584
Pd 0.000 0.000 0.000
Pu -2.428 1.845 -0.195
```

---

[5]
Mg2CrRu | PBE | optimized geometry

Calculated volume in Å³/atom: 16.72
Distance to the lowest polymorph of the same formula in eV/f.u.: 1.14
DFT formation energy in eV per formula unit: 1.3

extended XYZ file:
```
4
Lattice="-2.630 0.631 1.888 0.829 -2.496 1.990 3.372 3.842 3.413" Properties=species:S:1:pos:R:3 pbc="T T T"
Cr 1.629 1.950 4.499
Mg 0.072 0.082 0.073
Mg 1.614 1.839 1.633
Ru -0.057 0.028 2.792
```

---

[6]
ErTiAl2 | PBE | optimized geometry

Calculated volume in Å³/atom: 19.34
Distance to the lowest polymorph of the same formula in eV/f.u.: 0.00
DFT formation energy in eV per formula unit: -1.3

extended XYZ file:
```
4
Lattice="-0.885 0.595 3.267 -2.048 -2.759 -0.052 4.983 -3.737 2.031" Properties=species:S:1:pos:R:3 pbc="T T T"
Ti -1.466 -1.082 1.607
Al 3.948 -2.961 1.609
Al 1.035 -0.776 0.422
Er 1.025 -2.950 2.623
```

---

[7]
Fe2HgPd8 | PBE | optimized geometry

Calculated volume in Å³/atom: 16.31
Distance to the lowest polymorph of the same formula in eV/f.u.: 1.66
DFT formation energy in eV per formula unit: 0.5

extended XYZ file:
```
11
Lattice="4.547 0.877 0.000 1.419 7.111 0.000 0.709 3.556 5.768" Properties=species:S:1:pos:R:3 pbc="T T T"
Fe 0.709 3.556 2.184
Fe 1.419 7.111 3.585
Hg 2.274 0.439 0.000
Pd 4.338 2.253 1.386
Pd 5.047 5.809 4.383
Pd 1.979 3.115 0.000
Pd 3.692 7.550 2.690
Pd 2.983 3.994 3.078
Pd 3.987 4.874 0.000
Pd 1.628 5.735 1.386
Pd 2.337 9.291 4.383
```

---

[8]
Be2POs | PBE | optimized geometry

Calculated volume in Å³/atom: 12.22
DFT formation energy in eV per formula unit: 1.9

extended XYZ file:
```
4
Lattice="-1.976 1.660 -0.841 -0.269 -1.214 2.412 3.480 5.821 3.317" Properties=species:S:1:pos:R:3 pbc="T T T"
P 1.507 4.622 3.292
Os 1.727 2.889 1.646
Be 0.023 0.039 0.022
Be -0.282 1.628 1.586
```

---

[9]
Ce5TcPb3 | PBE | optimized geometry

Calculated volume in Å³/atom: 28.46
DFT formation energy in eV per formula unit: -3.1

extended XYZ file:
```
18
Lattice="6.368 0.000 0.000 0.000 8.346 -4.819 0.000 0.000 9.637" Properties=species:S:1:pos:R:3 pbc="T T T"
Ce 0.000 2.782 4.819
Ce 3.184 5.564 0.000
Ce 0.000 5.564 0.000
Ce 3.184 2.782 4.819
Ce 4.776 6.341 -3.661
Ce 4.776 2.006 1.158
Ce 4.776 0.000 7.322
Ce 1.592 2.006 -1.158
Ce 1.592 6.341 3.661
Ce 1.592 0.000 2.316
Tc 0.000 0.000 0.000
Tc 3.184 0.000 0.000
Pb 4.776 3.299 -1.905
Pb 4.776 5.047 2.914
Pb 4.776 0.000 3.809
Pb 1.592 5.047 -2.914
Pb 1.592 3.299 1.905
Pb 1.592 0.000 5.828
```

---

[10]
Pr2TiAl4Au3 | PBE | optimized geometry

Calculated volume in Å³/atom: 20.86
DFT formation energy in eV per formula unit: -6.2

extended XYZ file:
```
10
Lattice="4.322 0.000 0.000 0.000 4.322 0.000 0.000 0.000 11.168" Properties=species:S:1:pos:R:3 pbc="T T T"
Pr 2.161 0.000 2.796
Pr 0.000 2.161 8.371
Ti 2.161 2.161 5.584
Al 2.161 2.161 0.000
Al 0.000 0.000 0.000
Al 2.161 0.000 7.166
Al 0.000 2.161 4.002
Au 0.000 0.000 5.584
Au 2.161 0.000 9.723
Au 0.000 2.161 1.445
```

---

[11]
TaPdS2N | PBE | optimized geometry

Raw formation energy in meV/atom: 166
Calculated volume in Å³/atom: 18.57
Distance to the lowest polymorph of the same formula in eV/f.u.: 0.00

extended XYZ file:
```
5
Lattice="4.866 0.000 0.000 0.000 4.866 0.000 0.000 0.000 3.921" Properties=species:S:1:pos:R:3 pbc="T T T"
S 0.000 2.433 0.000
S 2.433 0.000 0.000
N 0.000 0.000 1.961
Pd 2.433 2.433 1.961
Ta 0.000 0.000 0.000
```

---

[12]
Tl2RhF6 | PBE | optimized geometry

Raw formation energy in meV/atom: -1734
Calculated volume in Å³/atom: 18.83

extended XYZ file:
```
18
Lattice="-4.236 -0.432 -4.230 1.198 -6.879 2.658 -5.594 1.146 5.486" Properties=species:S:1:pos:R:3 pbc="T T T"
Tl -3.329 -1.574 3.359
Tl -1.682 -1.366 -0.720
Tl -6.950 -4.799 4.634
Tl -5.303 -4.591 0.555
Rh -4.915 0.357 0.628
Rh 0.599 -3.439 1.329
F 0.104 -5.301 1.638
F -1.220 -2.855 1.741
F -3.028 0.210 1.192
F -5.521 -2.426 4.916
F -5.435 0.251 2.509
F -3.638 -4.575 3.385
F -8.737 -0.864 2.276
F -7.413 -3.310 2.173
F -5.604 -6.375 2.722
F -3.112 -3.739 -1.002
F -3.198 -6.416 1.405
F -4.994 -1.590 0.529
```

---

[13]
TbNdSmDy | PBE | optimized geometry

Calculated volume in Å³/atom: 33.09
Distance to the lowest polymorph of the same formula in eV/f.u.: 0.00
DFT formation energy in eV per formula unit: 0.1

extended XYZ file:
```
4
Lattice="-1.073 -1.140 4.855 4.679 -1.939 0.579 -0.090 6.106 -1.266" Properties=species:S:1:pos:R:3 pbc="T T T"
Tb 0.133 1.215 2.995
Nd 3.329 2.528 4.010
Sm 3.010 0.818 0.858
Dy 1.527 4.070 1.293
```

---

[14]
Zn2GaAg | PBE | optimized geometry

Calculated volume in Å³/atom: 16.43
DFT formation energy in eV per formula unit: 0.1

extended XYZ file:
```
4
Lattice="-1.551 3.036 2.071 0.983 -1.865 3.468 3.608 1.859 -0.023" Properties=species:S:1:pos:R:3 pbc="T T T"
Zn 1.804 0.929 -0.011
Zn 0.491 -0.932 1.734
Ga 1.520 1.515 2.758
Ag -0.775 1.518 1.036
```

---

[15]
KIO | PBE | optimized geometry

Raw formation energy in meV/atom: -942
Calculated volume in Å³/atom: 44.89
Distance to the lowest polymorph of the same formula in eV/f.u.: 0.00

extended XYZ file:
```
6
Lattice="-1.148 -0.570 -4.811 -3.582 -3.222 1.236 -4.753 10.089 2.516" Properties=species:S:1:pos:R:3 pbc="T T T"
K -5.247 5.094 -1.927
K -4.236 1.203 0.868
I -6.560 3.879 1.106
I -2.923 2.419 -2.165
O -2.810 -2.296 -1.634
O -1.919 -1.495 -1.941
```

---

Going through the records in order, we get raw total energy values of -44.0; -10.4; -33.9; -33.8; -20.8; -21.2; -58.2; -22.2; -54.3; -48.4; -32.8; -38.9; -18.7; -8.3; -10.4 eV/f.u..